Pr2YTe5Au after structural relaxation, computed with PBE-GGA.

theoretical density = 7.2 g/cm³
uncorrected energy = -5.0999 eV per atom
symmetry = Cmc2_1 (36)
total magnetic moment = 0.0 μB/f.u.
calculated volume = 557.09 Å³/cell
energy relative to the elements, uncorrected = -1.2101 eV/atom

Geometry as POSCAR:
```
Pr2YTe5Au
1.0
-2.741 2.957 1.708
-5.646 -4.702 -6.534
-3.570 -8.712 9.353
Pr Y Te Au
4 2 10 2
Direct
0.875 0.751 0.807 Pr
0.113 0.226 0.687 Pr
0.125 0.249 0.307 Pr
0.887 0.774 0.187 Pr
0.811 0.622 0.509 Y
0.189 0.378 0.009 Y
0.353 0.707 0.000 Te
0.694 0.389 0.839 Te
0.499 0.999 0.779 Te
0.288 0.575 0.670 Te
0.960 0.920 0.574 Te
0.647 0.293 0.500 Te
0.306 0.611 0.339 Te
0.501 0.001 0.279 Te
0.712 0.425 0.170 Te
0.040 0.080 0.074 Te
0.573 0.145 0.959 Au
0.427 0.855 0.459 Au
```



Pr2Ho3Mg2 after structural relaxation, computed with PBE-GGA.

energy relative to the elements = 0.02 eV per atom
theoretical density = 6.4 g/cm³
uncorrected energy = -3.7596 eV per atom
symmetry = Cmmm (65)
total magnetic moment = 0.0 μB/f.u.
calculated volume = 214.79 Å³/cell

Geometry as POSCAR:
```
Pr2Ho3Mg2
1.0
-0.521 2.727 2.214
-3.111 0.634 -1.512
-7.353 -11.937 10.128
Pr Ho Mg
2 3 2
Direct
0.296 0.500 0.592 Pr
0.704 0.500 0.408 Pr
0.429 0.500 0.858 Ho
0.571 0.500 0.142 Ho
0.000 0.000 0.000 Ho
0.135 0.000 0.271 Mg
0.865 0.000 0.729 Mg
```



BaSr5P4 after structural relaxation, computed with PBE-GGA.

energy relative to the elements = -0.98 eV per atom
theoretical density = 3.5 g/cm³
uncorrected energy = -4.1740 eV per atom
symmetry = C2/m (12)
total magnetic moment = 0.0 μB/f.u.
calculated volume = 330.85 Å³/cell

Geometry as POSCAR:
```
BaSr5P4
1.0
-1.763 -3.522 -2.927
-5.473 -1.598 5.219
-5.017 7.388 -1.755
Ba Sr P
1 5 4
Direct
0.500 0.000 0.000 Ba
0.171 0.009 0.342 Sr
0.159 0.528 0.317 Sr
0.841 0.472 0.683 Sr
0.500 0.500 0.000 Sr
0.829 0.991 0.658 Sr
0.692 0.757 0.383 P
0.036 0.262 0.071 P
0.308 0.243 0.617 P
0.964 0.738 0.929 P
```



SmGa4NiRu2 after structural relaxation, computed with PBE-GGA.

energy relative to the elements = -0.43 eV per atom
theoretical density = 8.6 g/cm³
uncorrected energy = -5.5773 eV per atom
symmetry = R-3m (166)
total magnetic moment = 0.0 μB/f.u.
calculated volume = 132.92 Å³/cell

Geometry as POSCAR:
```
SmGa4NiRu2
1.0
4.226 0.000 0.000
2.113 3.659 0.000
2.113 1.220 8.596
Sm Ga Ni Ru
1 4 1 2
Direct
0.000 0.000 0.000 Sm
0.402 0.402 0.794 Ga
0.869 0.869 0.394 Ga
0.131 0.131 0.606 Ga
0.598 0.598 0.206 Ga
0.500 0.500 0.500 Ni
0.769 0.769 0.693 Ru
0.231 0.231 0.307 Ru
```



Nb7Mo2W2 after structural relaxation, computed with PBE-GGA.

energy relative to the elements = 0.33 eV per atom
relative energy among the computed polymorphs = 0.109 eV per atom
theoretical density = 9.9 g/cm³
uncorrected energy = -10.4048 eV per atom
symmetry = C2/m (12)
total magnetic moment = 0.0 μB/f.u.
calculated volume = 202.19 Å³/cell

Geometry as POSCAR:
```
Nb7Mo2W2
1.0
5.232 -0.362 0.159
-2.280 4.723 0.159
0.378 0.559 8.507
Nb Mo W
7 2 2
Direct
0.172 0.534 0.159 Nb
0.466 0.828 0.841 Nb
0.828 0.466 0.841 Nb
0.534 0.172 0.159 Nb
0.000 0.000 0.000 Nb
0.204 0.204 0.709 Nb
0.796 0.796 0.291 Nb
0.735 0.735 0.589 Mo
0.265 0.265 0.411 Mo
0.747 0.253 0.500 W
0.253 0.747 0.500 W
```



Tm2ScInO after structural relaxation, computed with PBE-GGA.

theoretical density = 8.6 g/cm³
uncorrected energy = -6.0124 eV per atom
symmetry = P4/mmm (123)
total magnetic moment = 0.0 μB/f.u.
calculated volume = 99.09 Å³/cell
energy relative to the elements, uncorrected = -1.4182 eV/atom

Geometry as POSCAR:
```
Tm2ScInO
1.0
-0.106 -4.286 1.339
3.498 0.856 3.015
-3.132 1.114 3.318
Tm Sc In O
2 1 1 1
Direct
0.000 0.000 0.500 Tm
0.000 0.500 0.000 Tm
0.500 0.000 0.000 Sc
0.500 0.500 0.500 In
0.000 0.000 0.000 O
```



TaHgBr2 after structural relaxation, computed with PBE-GGA.

relative energy among the computed polymorphs = 0.908 eV per atom
theoretical density = 9.9 g/cm³
uncorrected energy = -3.2365 eV per atom
symmetry = Pmmm (47)
total magnetic moment = 0.9 μB/f.u.
calculated volume = 90.48 Å³/cell
energy relative to the elements, uncorrected = 0.6385 eV/atom

Geometry as POSCAR:
```
TaHgBr2
1.0
3.267 0.000 0.000
0.000 5.783 0.000
0.000 0.000 4.790
Hg Br Ta
1 2 1
Direct
0.500 0.000 0.500 Hg
0.000 0.000 0.000 Br
0.500 0.500 0.000 Br
0.000 0.500 0.500 Ta
```



K3TcCl after structural relaxation, computed with PBE-GGA.

relative energy among the computed polymorphs = 0.000 eV per atom
theoretical density = 1.9 g/cm³
uncorrected energy = -2.8504 eV per atom
symmetry = Pm-3m (221)
total magnetic moment = 3.3 μB/f.u.
calculated volume = 215.88 Å³/cell
energy relative to the elements, uncorrected = 0.2506 eV/atom

Geometry as POSCAR:
```
K3TcCl
1.0
5.999 0.000 0.000
0.000 5.999 0.000
0.000 0.000 5.999
K Tc Cl
3 1 1
Direct
0.000 0.500 0.000 K
0.000 0.000 0.500 K
0.500 0.000 0.000 K
0.500 0.500 0.500 Tc
0.000 0.000 0.000 Cl
```